one | # HfReMo2 PBE relaxed
# crystal system = tetragonal
# V = 16.568 Å³ per atom
# symmetry = P4/mmm, No. 123
# DOS(E_F) = 1.9 states/eV/f.u.
# M_tot = 0.00 μB/cell
data_HfReMo2
_cell_length_a 3.211
_cell_length_b 4.543
_cell_length_c 4.543
_cell_angle_alpha 90.00
_cell_angle_beta 90.00
_cell_angle_gamma 90.00
_symmetry_space_group_name_H-M 'P 1'
_symmetry_Int_Tables_number 1
loop_
_symmetry_equiv_pos_as_xyz
'x,y,z'
loop_
_atom_site_label
_atom_site_type_symbol
_atom_site_fract_x
_atom_site_fract_y
_atom_site_fract_z
Mo1 Mo 0.000 0.000 0.500
Mo2 Mo 0.000 0.500 0.000
Hf1 Hf 0.500 0.000 0.000
Re1 Re 0.500 0.500 0.500



two | # HfReMo2 PBE relaxed
# crystal system = cubic
# V = 16.472 Å³ per atom
# symmetry = Fm-3m, No. 225
# DOS(E_F) = 2.0 states/eV/f.u.
# M_tot = 0.00 μB/cell
data_HfReMo2
_cell_length_a 4.534
_cell_length_b 4.534
_cell_length_c 4.534
_cell_angle_alpha 60.00
_cell_angle_beta 60.00
_cell_angle_gamma 60.00
_symmetry_space_group_name_H-M 'P 1'
_symmetry_Int_Tables_number 1
loop_
_symmetry_equiv_pos_as_xyz
'x,y,z'
loop_
_atom_site_label
_atom_site_type_symbol
_atom_site_fract_x
_atom_site_fract_y
_atom_site_fract_z
Mo1 Mo 0.750 0.750 0.750
Mo2 Mo 0.250 0.250 0.250
Hf1 Hf 0.000 0.000 0.000
Re1 Re 0.500 0.500 0.500



Which of them is the least stable? Correct choice: one.



one | # HfRe2Mo PBE relaxed
# crystal system = cubic
# V = 16.346 Å³ per atom
# symmetry = Fm-3m, No. 225
# DOS(E_F) = 1.1 states/eV/f.u.
# M_tot = 0.00 μB/cell
data_HfRe2Mo
_cell_length_a 4.522
_cell_length_b 4.522
_cell_length_c 4.522
_cell_angle_alpha 60.00
_cell_angle_beta 60.00
_cell_angle_gamma 60.00
_symmetry_space_group_name_H-M 'P 1'
_symmetry_Int_Tables_number 1
loop_
_symmetry_equiv_pos_as_xyz
'x,y,z'
loop_
_atom_site_label
_atom_site_type_symbol
_atom_site_fract_x
_atom_site_fract_y
_atom_site_fract_z
Hf1 Hf 0.500 0.500 0.500
Re1 Re 0.250 0.250 0.250
Re2 Re 0.750 0.750 0.750
Mo1 Mo 0.000 0.000 0.000



two | # HfRe2Mo PBE relaxed
# crystal system = tetragonal
# V = 16.457 Å³ per atom
# symmetry = P4/mmm, No. 123
# DOS(E_F) = 1.6 states/eV/f.u.
# M_tot = 0.00 μB/cell
data_HfRe2Mo
_cell_length_a 3.189
_cell_length_b 3.189
_cell_length_c 6.474
_cell_angle_alpha 90.00
_cell_angle_beta 90.00
_cell_angle_gamma 90.00
_symmetry_space_group_name_H-M 'P 1'
_symmetry_Int_Tables_number 1
loop_
_symmetry_equiv_pos_as_xyz
'x,y,z'
loop_
_atom_site_label
_atom_site_type_symbol
_atom_site_fract_x
_atom_site_fract_y
_atom_site_fract_z
Re1 Re 0.000 0.000 0.237
Re2 Re 0.000 0.000 0.763
Hf1 Hf 0.500 0.500 0.500
Mo1 Mo 0.500 0.500 0.000



Which of them is the least stable? Correct choice: one.